This record from Alexandria describes an optimized crystal structure of ZrSiAu2. The functional is GGA-PBE. Values from VASP.

Calculated values
space group	Cmm2
E_form (uncorrected)	-254	meV/atom
theoretical density	11.8	g/cm3

```
&SYSTEM
  ibrav = 0, nat = 4, ntyp = 3
/
ATOMIC_SPECIES
Au 196.97 Au.upf
Si 28.09 Si.upf
Zr 91.22 Zr.upf
ATOMIC_POSITIONS crystal
Au 0.000 0.000 0.999
Au 0.500 0.500 0.284
Si 0.000 0.000 0.490
Zr 0.500 0.500 0.728
CELL_PARAMETERS angstrom
-3.111 -0.262 0.259
0.573 -2.627 -1.608
0.850 -3.744 6.417
```

=====

This record from Alexandria describes an optimized crystal structure of Sc7Tc6. The functional is GGA-PBE. Values from VASP.

Calculated values
space group	R-3m
theoretical density	6.2	g/cm3
energy of formation from the pure elements	0.4181	eV per atom

```
&SYSTEM
  ibrav = 0, nat = 13, ntyp = 2
/
ATOMIC_SPECIES
Sc 44.96 Sc.upf
Tc 98.00 Tc.upf
ATOMIC_POSITIONS crystal
Sc 0.924 0.417 0.417
Sc 0.417 0.417 0.924
Sc 0.417 0.924 0.417
Sc 0.076 0.583 0.583
Sc 0.583 0.076 0.583
Sc 0.583 0.583 0.076
Sc 0.500 0.500 0.500
Tc 0.948 0.948 0.948
Tc 0.052 0.052 0.052
Tc 0.861 0.861 0.861
Tc 0.139 0.139 0.139
Tc 0.667 0.667 0.667
Tc 0.333 0.333 0.333
CELL_PARAMETERS angstrom
-5.817 4.736 -5.663
-7.860 -0.504 -5.128
-8.738 3.300 -1.045
```

=====

This record from Alexandria describes an optimized crystal structure of Ba2GdSn. The functional is GGA-PBE. Values from VASP.

Calculated values
space group	R-3m
theoretical density	5.3	g/cm3
energy of formation from the pure elements	0.1084	eV per atom

```
&SYSTEM
  ibrav = 0, nat = 4, ntyp = 3
/
ATOMIC_SPECIES
Gd 157.25 Gd.upf
Ba 137.33 Ba.upf
Sn 118.71 Sn.upf
ATOMIC_POSITIONS crystal
Gd 0.000 0.000 0.000
Ba 0.097 0.097 0.709
Ba 0.903 0.903 0.291
Sn 0.500 0.500 0.500
CELL_PARAMETERS angstrom
-1.115 3.729 -0.664
-0.748 1.211 -3.684
-12.907 -1.783 -0.083
```

=====

What is the theoretical density in the second record? 6.2 g/cm3